ScPtW | GGA-PBE | optimized geometry

## Properties
Formation enthalpy at 0 K   -173 meV/atom
ρ   13547 kg/m³
SG   Imm2, No. 44
ΔE to the lowest computed polymorph   167 meV per atom

a b c (Å): 5.377 5.377 5.377
angles (deg): 147.73 141.01 51.48
Element x y z (fractional)
1 Sc 0.000 0.000 0.000
2 Pt 0.331 0.331 0.000
3 W 0.679 0.679 0.000